(1)
First-principles (PBE) data for a relaxed Ce3TlSb crystal, as listed in the Alexandria database.

Symmetry   C2/c
Uncorrected energy   -103.17 eV for the cell shown

Lattice parameters (Å, degrees): 6.675 6.675 16.029 86.47 86.47 52.30
Last column: magnetic moment on the atom in μB.
Sites, in units of the cell vectors:
Ce 0.056 0.532 0.901  0.80
Sb 0.000 0.500 0.500  -0.01
Ce 0.796 0.168 0.051  0.70
Ce 0.084 0.354 0.698  0.85
Ce 0.468 0.944 0.599  0.80
Tl 0.717 0.353 0.850  0.00
Sb 0.211 0.789 0.750  -0.01
Ce 0.204 0.832 0.949  0.70
Ce 0.944 0.468 0.099  0.80
Tl 0.283 0.647 0.150  0.00
Sb 0.500 0.000 0.000  -0.01
Ce 0.168 0.796 0.551  0.70
Ce 0.832 0.204 0.449  0.70
Ce 0.532 0.056 0.401  0.80
Sb 0.789 0.211 0.250  -0.01
Tl 0.353 0.717 0.350  0.00
Ce 0.354 0.084 0.198  0.85
Tl 0.647 0.283 0.650  0.00
Ce 0.916 0.646 0.302  0.85
Ce 0.646 0.916 0.802  0.85

=====

(2)
First-principles (PBE) data for a relaxed Ce8Tl2Sb crystal, as listed in the Alexandria database.

Symmetry   C2/m
Uncorrected energy   -58.17 eV for the cell shown

Lattice parameters (Å, degrees): 5.694 8.587 8.360 59.10 78.64 67.44
Last column: magnetic moment on the atom in μB.
Sites, in units of the cell vectors:
Tl 0.000 0.311 0.377  0.00
Ce 0.092 0.727 0.190  0.25
Ce 0.647 0.596 0.000  0.40
Ce 0.500 0.775 0.451  0.88
Tl 0.000 0.689 0.623  0.00
Ce 0.500 0.225 0.549  0.88
Ce 0.908 0.083 0.190  0.25
Sb 0.500 0.000 0.000  -0.01
Ce 0.353 0.404 0.000  0.40
Ce 0.908 0.273 0.810  0.25
Ce 0.092 0.917 0.810  0.25

=====

(3)
First-principles (PBE) data for a relaxed Ce7Tl3Sb crystal, as listed in the Alexandria database.

Symmetry   C2/m
Uncorrected energy   -54.69 eV for the cell shown

Lattice parameters (Å, degrees): 5.852 8.283 8.283 84.61 114.18 114.18
Last column: magnetic moment on the atom in μB.
Sites, in units of the cell vectors:
Ce 0.718 0.432 0.931  0.75
Ce 0.000 0.500 0.500  0.82
Tl 0.500 0.000 0.000  0.00
Ce 0.282 0.568 0.069  0.75
Ce 0.718 0.931 0.432  0.75
Sb 0.500 0.500 0.500  -0.01
Tl 0.000 0.778 0.222  0.00
Ce 0.282 0.069 0.568  0.75
Ce 0.198 0.199 0.199  0.84
Ce 0.802 0.801 0.801  0.84
Tl 0.000 0.222 0.778  0.00

=====

(4)
First-principles (PBE) data for a relaxed CeTlSb2 crystal, as listed in the Alexandria database.

Symmetry   P4/mmm
Uncorrected energy   -18.59 eV for the cell shown

Lattice parameters (Å, degrees): 4.185 4.185 6.692 90.00 90.00 90.00
Last column: magnetic moment on the atom in μB.
Sites, in units of the cell vectors:
Sb 0.000 0.000 0.223  -0.01
Ce 0.500 0.500 0.000  0.66
Sb 0.000 0.000 0.777  -0.01
Tl 0.500 0.500 0.500  0.01

=====

(5)
First-principles (PBE) data for a relaxed Ce2TlSb crystal, as listed in the Alexandria database.

Symmetry   P4/mmm
Uncorrected energy   -20.60 eV for the cell shown

Lattice parameters (Å, degrees): 4.099 4.099 6.848 90.00 90.00 90.00
Last column: magnetic moment on the atom in μB.
Sites, in units of the cell vectors:
Sb 0.500 0.500 0.000  -0.03
Tl 0.500 0.500 0.500  0.03
Ce 0.000 0.000 0.762  1.01
Ce 0.000 0.000 0.238  1.01

=====

(6)
First-principles (PBE) data for a relaxed Ce5TlSb4 crystal, as listed in the Alexandria database.

Symmetry   I4/m
Uncorrected energy   -56.70 eV for the cell shown

Lattice parameters (Å, degrees): 6.360 7.795 7.795 80.42 65.93 65.93
Last column: magnetic moment on the atom in μB.
Sites, in units of the cell vectors:
Sb 0.801 0.800 0.599  -0.02
Sb 0.602 0.599 0.200  -0.02
Ce 0.899 0.406 0.798  0.68
Sb 0.401 0.401 0.800  -0.02
Sb 0.201 0.200 0.401  -0.02
Ce 0.697 0.202 0.406  0.68
Ce 0.103 0.594 0.202  0.68
Tl 0.001 0.000 0.000  0.00
Ce 0.305 0.798 0.594  0.68
Ce 0.501 0.000 0.000  0.58

=====

(7)
First-principles (PBE) data for a relaxed Ce4TlSb crystal, as listed in the Alexandria database.

Symmetry   C2/c
Uncorrected energy   -64.08 eV for the cell shown

Lattice parameters (Å, degrees): 5.607 7.620 9.006 100.91 108.14 90.00
Last column: magnetic moment on the atom in μB.
Sites, in units of the cell vectors:
Ce 0.052 0.914 0.698  0.74
Sb 0.088 0.250 0.000  -0.01
Ce 0.338 0.540 0.869  0.47
Sb 0.912 0.750 0.000  -0.01
Ce 0.948 0.086 0.302  0.74
Tl 0.000 0.500 0.500  0.00
Tl 0.500 0.000 0.500  0.00
Ce 0.531 0.040 0.869  0.47
Ce 0.646 0.414 0.698  0.74
Ce 0.469 0.960 0.131  0.47
Ce 0.662 0.460 0.131  0.47
Ce 0.354 0.586 0.302  0.74

=====

(8)
First-principles (PBE) data for a relaxed Ce2TlSb4 crystal, as listed in the Alexandria database.

Symmetry   P-4m2
Uncorrected energy   -35.01 eV for the cell shown

Lattice parameters (Å, degrees): 4.358 4.358 11.445 90.00 90.00 90.00
Last column: magnetic moment on the atom in μB.
Sites, in units of the cell vectors:
Tl 0.500 0.500 0.000  -0.01
Ce 0.500 0.000 0.717  0.51
Sb 0.500 0.500 0.500  -0.01
Ce 0.000 0.500 0.283  0.51
Sb 0.500 0.000 0.209  -0.02
Sb 0.000 0.000 0.500  -0.01
Sb 0.000 0.500 0.791  -0.02

=====

Q: uncorrected energy of number 4 (CeTlSb2)?
A: -18.59 eV for the cell shown